A plane-wave DFT calculation with PBE was carried out for crystalline Zr2BPt at its relaxed geometry.

It has space group F-43m (No. 216), with a = 6.3895 Å, b = 6.3895 Å, c = 6.3895 Å, α = 90.00°, β = 90.00° and γ = 90.00°. The inequivalent atoms are Zr at (0.0000, 0.0000, 0.0000), Zr at (0.2500, 0.2500, 0.2500), B at (0.0000, 0.0000, 0.5000) and Pt at (0.2500, 0.2500, 0.7500).

The crystal system is cubic. For the total magnetic moment, the calculation gives 1.6 μB/f.u. The value obtained for the total energy is -7.140 eV/atom.

A plane-wave DFT calculation with PBE was carried out for crystalline ZrB2Pt at its relaxed geometry.

It has space group F-43m (No. 216), with a = 6.0309 Å, b = 6.0309 Å, c = 6.0309 Å, α = 90.00°, β = 90.00° and γ = 90.00°. The inequivalent atoms are Zr at (0.0000, 0.0000, 0.0000), B at (0.0000, 0.0000, 0.5000), B at (0.2500, 0.2500, 0.2500) and Pt at (0.2500, 0.2500, 0.7500).

The crystal system is cubic. For the total magnetic moment, the calculation gives 0.0 μB/f.u. The value obtained for the total energy is -6.384 eV/atom.

A plane-wave DFT calculation with PBE was carried out for crystalline Zr2B6Pt at its relaxed geometry.

It has space group Pbam (No. 55), with a = 9.0490 Å, b = 11.4274 Å, c = 3.5179 Å, α = 90.00°, β = 90.00° and γ = 90.00°. The inequivalent atoms are Zr at (0.0540, 0.1299, 0.0000), Zr at (0.1884, 0.4073, 0.0000), B at (0.0219, 0.2859, 0.5000), B at (0.0522, 0.5600, 0.5000), B at (0.1014, 0.9738, 0.5000), B at (0.1317, 0.8217, 0.5000), B at (0.2031, 0.2420, 0.5000), B at (0.2459, 0.0755, 0.5000) and Pt at (0.1337, 0.6648, 0.0000).

The crystal system is orthorhombic. For the total magnetic moment, the calculation gives 0.0 μB/f.u. The value obtained for the total energy is -7.609 eV/atom.

A plane-wave DFT calculation with PBE was carried out for crystalline PuB at its relaxed geometry.

It has space group P-6m2 (No. 187), with a = 2.6100 Å, b = 2.6100 Å, c = 4.2426 Å, α = 90.00°, β = 90.00° and γ = 120.00°. The inequivalent atoms are Pu at (0.0000, 0.0000, 0.0000) and B at (0.3333, 0.6667, 0.5000).

The crystal system is hexagonal. As for the energy above the most stable polymorph in this dataset: 0.219 eV/atom. For the total magnetic moment, the calculation gives 0.4 μB/f.u. The value obtained for the total energy is -9.738 eV/atom.

A plane-wave DFT calculation with PBE was carried out for crystalline PuB at its relaxed geometry.

It has space group F-43m (No. 216), with a = 5.5287 Å, b = 5.5287 Å, c = 5.5287 Å, α = 90.00°, β = 90.00° and γ = 90.00°. The inequivalent atoms are Pu at (0.0000, 0.0000, 0.0000) and B at (0.2500, 0.2500, 0.2500).

The crystal system is cubic. As for the energy above the most stable polymorph in this dataset: 0.527 eV/atom. For the total magnetic moment, the calculation gives 4.9 μB/f.u. The value obtained for the total energy is -9.430 eV/atom.

A plane-wave DFT calculation with PBE was carried out for crystalline PuB2 at its relaxed geometry.

It has space group Fd-3m (No. 227, origin choice 2), with a = 10.6462 Å, b = 10.6462 Å, c = 10.6462 Å, α = 90.00°, β = 90.00° and γ = 90.00°. The inequivalent atoms are Pu at (0.1250, 0.1250, 0.1250) and B at (0.0000, 0.0000, 0.0000).

The crystal system is cubic. For the total magnetic moment, the calculation gives 5.3 μB/f.u. The value obtained for the total energy is -6.385 eV/atom.

A plane-wave DFT calculation with PBE was carried out for crystalline PuReB at its relaxed geometry.

It has space group F-43m (No. 216), with a = 5.6302 Å, b = 5.6302 Å, c = 5.6302 Å, α = 90.00°, β = 90.00° and γ = 90.00°. The inequivalent atoms are Pu at (0.0000, 0.0000, 0.0000), Re at (0.0000, 0.0000, 0.5000) and B at (0.2500, 0.2500, 0.2500).

The crystal system is cubic. As for the energy above the most stable polymorph in this dataset: 0.000 eV/atom. For the total magnetic moment, the calculation gives 4.1 μB/f.u. The value obtained for the total energy is -10.709 eV/atom.

A plane-wave DFT calculation with PBE was carried out for crystalline PuReB4 at its relaxed geometry.

It has space group Pbam (No. 55), with a = 5.9778 Å, b = 11.5668 Å, c = 3.5814 Å, α = 90.00°, β = 90.00° and γ = 90.00°. The inequivalent atoms are Pu at (0.1260, 0.1504, 0.0000), Re at (0.1348, 0.4098, 0.0000), B at (0.0254, 0.6923, 0.5000), B at (0.1146, 0.5472, 0.5000), B at (0.1349, 0.9685, 0.5000) and B at (0.2119, 0.8134, 0.5000).

The crystal system is orthorhombic. For the total magnetic moment, the calculation gives 4.4 μB/f.u. The value obtained for the total energy is -9.411 eV/atom.

A plane-wave DFT calculation with PBE was carried out for crystalline PuReB at its relaxed geometry.

It has space group F-43m (No. 216), with a = 5.9700 Å, b = 5.9700 Å, c = 5.9700 Å, α = 90.00°, β = 90.00° and γ = 90.00°. The inequivalent atoms are Pu at (0.0000, 0.0000, 0.0000), Re at (0.2500, 0.2500, 0.2500) and B at (0.2500, 0.2500, 0.7500).

The crystal system is cubic. As for the energy above the most stable polymorph in this dataset: 1.054 eV/atom. For the total magnetic moment, the calculation gives 3.4 μB/f.u. The value obtained for the total energy is -9.654 eV/atom.

A plane-wave DFT calculation with PBE was carried out for crystalline PuBSb at its relaxed geometry.

It has space group F-43m (No. 216), with a = 6.1856 Å, b = 6.1856 Å, c = 6.1856 Å, α = 90.00°, β = 90.00° and γ = 90.00°. The inequivalent atoms are Pu at (0.0000, 0.0000, 0.0000), B at (0.2500, 0.2500, 0.2500) and Sb at (0.0000, 0.0000, 0.5000).

The crystal system is cubic. As for the energy above the most stable polymorph in this dataset: 0.000 eV/atom. For the total magnetic moment, the calculation gives 5.4 μB/f.u. The value obtained for the total energy is -8.156 eV/atom.

A plane-wave DFT calculation with PBE was carried out for crystalline PuBSb at its relaxed geometry.

It has space group F-43m (No. 216), with a = 6.4107 Å, b = 6.4107 Å, c = 6.4107 Å, α = 90.00°, β = 90.00° and γ = 90.00°. The inequivalent atoms are Pu at (0.0000, 0.0000, 0.0000), B at (0.2500, 0.2500, 0.7500) and Sb at (0.2500, 0.2500, 0.2500).

The crystal system is cubic. As for the energy above the most stable polymorph in this dataset: 0.664 eV/atom. For the total magnetic moment, the calculation gives 5.0 μB/f.u. The value obtained for the total energy is -7.492 eV/atom.

A plane-wave DFT calculation with PBE was carried out for crystalline PuSiB at its relaxed geometry.

It has space group F-43m (No. 216), with a = 5.8651 Å, b = 5.8651 Å, c = 5.8651 Å, α = 90.00°, β = 90.00° and γ = 90.00°. The inequivalent atoms are Pu at (0.0000, 0.0000, 0.0000), Si at (0.2500, 0.2500, 0.2500) and B at (0.2500, 0.2500, 0.7500).

The crystal system is cubic. As for the energy above the most stable polymorph in this dataset: 0.808 eV/atom. For the total magnetic moment, the calculation gives 4.5 μB/f.u. The value obtained for the total energy is -7.985 eV/atom.

A plane-wave DFT calculation with PBE was carried out for crystalline PuSiB at its relaxed geometry.

It has space group F-43m (No. 216), with a = 5.7039 Å, b = 5.7039 Å, c = 5.7039 Å, α = 90.00°, β = 90.00° and γ = 90.00°. The inequivalent atoms are Pu at (0.0000, 0.0000, 0.0000), Si at (0.0000, 0.0000, 0.5000) and B at (0.2500, 0.2500, 0.2500).

The crystal system is cubic. As for the energy above the most stable polymorph in this dataset: 0.000 eV/atom. For the total magnetic moment, the calculation gives 5.0 μB/f.u. The value obtained for the total energy is -8.793 eV/atom.

A plane-wave DFT calculation with PBE was carried out for crystalline SmPuB at its relaxed geometry.

It has space group F-43m (No. 216), with a = 6.3858 Å, b = 6.3858 Å, c = 6.3858 Å, α = 90.00°, β = 90.00° and γ = 90.00°. The inequivalent atoms are Sm at (0.0000, 0.0000, 0.0000), Pu at (0.0000, 0.0000, 0.5000) and B at (0.2500, 0.2500, 0.7500).

The crystal system is cubic. As for the energy above the most stable polymorph in this dataset: 0.000 eV/atom. For the total magnetic moment, the calculation gives 5.8 μB/f.u. The value obtained for the total energy is -8.297 eV/atom.

A plane-wave DFT calculation with PBE was carried out for crystalline PuSnB at its relaxed geometry.

It has space group F-43m (No. 216), with a = 6.5918 Å, b = 6.5918 Å, c = 6.5918 Å, α = 90.00°, β = 90.00° and γ = 90.00°. The inequivalent atoms are Pu at (0.0000, 0.0000, 0.0000), Sn at (0.2500, 0.2500, 0.7500) and B at (0.2500, 0.2500, 0.2500).

The crystal system is cubic. As for the energy above the most stable polymorph in this dataset: 0.792 eV/atom. For the total magnetic moment, the calculation gives 5.2 μB/f.u. The value obtained for the total energy is -7.346 eV/atom.

A plane-wave DFT calculation with PBE was carried out for crystalline PuSnB at its relaxed geometry.

It has space group F-43m (No. 216), with a = 6.1563 Å, b = 6.1563 Å, c = 6.1563 Å, α = 90.00°, β = 90.00° and γ = 90.00°. The inequivalent atoms are Pu at (0.0000, 0.0000, 0.0000), Sn at (0.0000, 0.0000, 0.5000) and B at (0.2500, 0.2500, 0.2500).

The crystal system is cubic. As for the energy above the most stable polymorph in this dataset: 0.000 eV/atom. For the total magnetic moment, the calculation gives 5.5 μB/f.u. The value obtained for the total energy is -8.138 eV/atom.

A plane-wave DFT calculation with PBE was carried out for crystalline PuSnB at its relaxed geometry.

It has space group F-43m (No. 216), with a = 6.5784 Å, b = 6.5784 Å, c = 6.5784 Å, α = 90.00°, β = 90.00° and γ = 90.00°. The inequivalent atoms are Pu at (0.0000, 0.0000, 0.0000), Sn at (0.2500, 0.2500, 0.2500) and B at (0.0000, 0.0000, 0.5000).

The crystal system is cubic. As for the energy above the most stable polymorph in this dataset: 0.914 eV/atom. For the total magnetic moment, the calculation gives 6.0 μB/f.u. The value obtained for the total energy is -7.224 eV/atom.

A plane-wave DFT calculation with PBE was carried out for crystalline SrPuB at its relaxed geometry.

It has space group F-43m (No. 216), with a = 6.6242 Å, b = 6.6242 Å, c = 6.6242 Å, α = 90.00°, β = 90.00° and γ = 90.00°. The inequivalent atoms are Sr at (0.0000, 0.0000, 0.0000), Pu at (0.0000, 0.0000, 0.5000) and B at (0.2500, 0.2500, 0.7500).

The crystal system is cubic. As for the energy above the most stable polymorph in this dataset: 0.000 eV/atom. For the total magnetic moment, the calculation gives 5.2 μB/f.u. The value obtained for the total energy is -6.896 eV/atom.

A plane-wave DFT calculation with PBE was carried out for crystalline PuTaB at its relaxed geometry.

It has space group F-43m (No. 216), with a = 5.8381 Å, b = 5.8381 Å, c = 5.8381 Å, α = 90.00°, β = 90.00° and γ = 90.00°. The inequivalent atoms are Pu at (0.0000, 0.0000, 0.0000), Ta at (0.0000, 0.0000, 0.5000) and B at (0.2500, 0.2500, 0.2500).

The crystal system is cubic. As for the energy above the most stable polymorph in this dataset: 0.000 eV/atom. For the total magnetic moment, the calculation gives 4.9 μB/f.u. The value obtained for the total energy is -10.610 eV/atom.

A plane-wave DFT calculation with PBE was carried out for crystalline PuTaB at its relaxed geometry.

It has space group F-43m (No. 216), with a = 5.9364 Å, b = 5.9364 Å, c = 5.9364 Å, α = 90.00°, β = 90.00° and γ = 90.00°. The inequivalent atoms are Pu at (0.0000, 0.0000, 0.0000), Ta at (0.2500, 0.2500, 0.2500) and B at (0.2500, 0.2500, 0.7500).

The crystal system is cubic. As for the energy above the most stable polymorph in this dataset: 1.255 eV/atom. For the total magnetic moment, the calculation gives 3.9 μB/f.u. The value obtained for the total energy is -9.355 eV/atom.

A plane-wave DFT calculation with PBE was carried out for crystalline TbPuB at its relaxed geometry.

It has space group F-43m (No. 216), with a = 6.3130 Å, b = 6.3130 Å, c = 6.3130 Å, α = 90.00°, β = 90.00° and γ = 90.00°. The inequivalent atoms are Tb at (0.0000, 0.0000, 0.0000), Pu at (0.0000, 0.0000, 0.5000) and B at (0.2500, 0.2500, 0.7500).

The crystal system is cubic. As for the energy above the most stable polymorph in this dataset: 0.000 eV/atom. For the total magnetic moment, the calculation gives 5.9 μB/f.u. The value obtained for the total energy is -8.313 eV/atom.

A plane-wave DFT calculation with PBE was carried out for crystalline Pu2TcB6 at its relaxed geometry.

It has space group Pbam (No. 55), with a = 9.2922 Å, b = 11.3987 Å, c = 3.6419 Å, α = 90.00°, β = 90.00° and γ = 90.00°. The inequivalent atoms are Pu at (0.0459, 0.1095, 0.0000), Pu at (0.1644, 0.4080, 0.0000), Tc at (0.1449, 0.6800, 0.0000), B at (0.0120, 0.2822, 0.5000), B at (0.0526, 0.5681, 0.5000), B at (0.1400, 0.9612, 0.5000), B at (0.1429, 0.8116, 0.5000), B at (0.1983, 0.2277, 0.5000) and B at (0.2442, 0.5773, 0.5000).

The crystal system is orthorhombic. For the total magnetic moment, the calculation gives 8.9 μB/f.u. The value obtained for the total energy is -9.312 eV/atom.

A plane-wave DFT calculation with PBE was carried out for crystalline TmPuB at its relaxed geometry.

It has space group F-43m (No. 216), with a = 6.2518 Å, b = 6.2518 Å, c = 6.2518 Å, α = 90.00°, β = 90.00° and γ = 90.00°. The inequivalent atoms are Tm at (0.0000, 0.0000, 0.0000), Pu at (0.0000, 0.0000, 0.5000) and B at (0.2500, 0.2500, 0.7500).

The crystal system is cubic. As for the energy above the most stable polymorph in this dataset: 0.000 eV/atom. For the total magnetic moment, the calculation gives 5.9 μB/f.u. The value obtained for the total energy is -8.301 eV/atom.

A plane-wave DFT calculation with PBE was carried out for crystalline PuBW at its relaxed geometry.

It has space group F-43m (No. 216), with a = 5.7045 Å, b = 5.7045 Å, c = 5.7045 Å, α = 90.00°, β = 90.00° and γ = 90.00°. The inequivalent atoms are Pu at (0.0000, 0.0000, 0.0000), B at (0.2500, 0.2500, 0.2500) and W at (0.0000, 0.0000, 0.5000).

The crystal system is cubic. As for the energy above the most stable polymorph in this dataset: 0.000 eV/atom. For the total magnetic moment, the calculation gives 4.1 μB/f.u. The value obtained for the total energy is -10.785 eV/atom.

A plane-wave DFT calculation with PBE was carried out for crystalline PuB4W at its relaxed geometry.

It has space group Pbam (No. 55), with a = 6.0260 Å, b = 11.6520 Å, c = 3.6247 Å, α = 90.00°, β = 90.00° and γ = 90.00°. The inequivalent atoms are Pu at (0.1255, 0.1506, 0.0000), B at (0.0253, 0.6931, 0.5000), B at (0.1155, 0.5476, 0.5000), B at (0.1335, 0.9678, 0.5000), B at (0.2120, 0.8129, 0.5000) and W at (0.1325, 0.4133, 0.0000).

The crystal system is orthorhombic. For the total magnetic moment, the calculation gives 4.8 μB/f.u. The value obtained for the total energy is -9.488 eV/atom.